No. 1
The following is a DFT calculation (PBE) of crystalline Ca2TmCd4 at its relaxed geometry.

Results
SG	I4/mmm
total magnetization	0.0	Bohr magnetons per cell
formation energy from the elements	-0.172	eV/atom
DFT total energy	-0.0700	hartree per atom

abc: 5.4151 5.4151 7.9182
angles: 110.00 110.00 90.00
Closest atoms and distances in Å follow each position.
Atoms (fractional coordinates):
Ca 0.7410 0.7410 0.4819  8 Cd 3.25-3.39, 1 Tm 3.59
Ca 0.2590 0.2590 0.5181  8 Cd 3.25-3.39, 1 Tm 3.59
Tm 0.0000 0.0000 0.0000  8 Cd 3.12
Cd 0.3887 0.8887 0.7773  1 Cd 3.09, 2 Tm 3.12, 4 Ca 3.25-3.39
Cd 0.8887 0.3887 0.7773  1 Cd 3.09, 2 Tm 3.12, 4 Ca 3.25-3.39
Cd 0.6113 0.1113 0.2227  1 Cd 3.09, 2 Tm 3.12, 4 Ca 3.25-3.39
Cd 0.1113 0.6113 0.2227  1 Cd 3.09, 2 Tm 3.12, 4 Ca 3.25-3.39


No. 2
The following is a DFT calculation (PBE) of crystalline CaTmCd17 at its relaxed geometry.

Results
SG	R3m
total magnetization	0.0	Bohr magnetons per cell
formation energy from the elements	-0.103	eV/atom
DFT total energy	-0.0464	hartree per atom

abc: 7.7031 7.7031 7.7031
angles: 81.62 81.62 81.62
Closest atoms and distances in Å follow each position.
Atoms (fractional coordinates):
Ca 0.6675 0.6675 0.6675  16 Cd 3.53-3.82
Tm 0.3233 0.3233 0.3233  13 Cd 3.33-3.50
Cd 0.3019 0.0014 0.6949  7 Cd 2.93-3.27
Cd 0.6949 0.3019 0.0014  7 Cd 2.93-3.27
Cd 0.0014 0.6949 0.3019  7 Cd 2.93-3.27
Cd 0.3019 0.6949 0.0014  7 Cd 2.93-3.27
Cd 0.0014 0.3019 0.6949  7 Cd 2.93-3.27
Cd 0.6949 0.0014 0.3019  7 Cd 2.93-3.27
Cd 0.3439 0.8836 0.3439  7 Cd 2.88-3.03
Cd 0.3439 0.3439 0.8836  7 Cd 2.88-3.03
Cd 0.8836 0.3439 0.3439  7 Cd 2.88-3.03
Cd 0.6141 0.2208 0.6141  6 Cd 2.88-3.17
Cd 0.6141 0.6141 0.2208  6 Cd 2.88-3.17
Cd 0.2208 0.6141 0.6141  6 Cd 2.88-3.17
Cd 0.9739 0.5292 0.9739  9 Cd 2.89-3.17
Cd 0.9739 0.9739 0.5292  9 Cd 2.89-3.17
Cd 0.5292 0.9739 0.9739  9 Cd 2.89-3.17
Cd 0.9116 0.9116 0.9116  4 Cd 2.89-2.92
Cd 0.1040 0.1040 0.1040  4 Cd 2.92-2.98


No. 3
The following is a DFT calculation (PBE) of crystalline Ca4TmCd5 at its relaxed geometry.

Results
SG	P4/mmm
total magnetization	0.0	Bohr magnetons per cell
formation energy from the elements	-0.349	eV/atom
DFT total energy	-0.0755	hartree per atom

abc: 3.7949 3.7949 19.1255
angles: 90.00 90.00 90.00
Closest atoms and distances in Å follow each position.
Atoms (fractional coordinates):
Ca 0.0000 0.0000 0.1952  8 Cd 3.31-3.34
Ca 0.0000 0.0000 0.3981  8 Cd 3.31-3.32
Ca 0.0000 0.0000 0.6019  8 Cd 3.31-3.32
Ca 0.0000 0.0000 0.8048  8 Cd 3.31-3.34
Tm 0.0000 0.0000 0.0000  8 Cd 3.21
Cd 0.5000 0.5000 0.0917  4 Tm 3.21, 4 Ca 3.34, 1 Cd 3.51
Cd 0.5000 0.5000 0.2967  8 Ca 3.31
Cd 0.5000 0.5000 0.5000  8 Ca 3.32
Cd 0.5000 0.5000 0.7034  8 Ca 3.31
Cd 0.5000 0.5000 0.9083  4 Tm 3.21, 4 Ca 3.34, 1 Cd 3.51


No. 4
The following is a DFT calculation (PBE) of crystalline CaTmCd at its relaxed geometry.

Results
SG	I4mm
total magnetization	0.0	Bohr magnetons per cell
formation energy from the elements	-0.160	eV/atom
DFT total energy	-0.0964	hartree per atom

abc: 3.6690 3.6690 7.1722
angles: 104.82 104.82 90.00
Closest atoms and distances in Å follow each position.
Atoms (fractional coordinates):
Ca 0.0172 0.0172 0.0344  4 Cd 3.34, 4 Ca 3.67
Tm 0.3087 0.3087 0.6175  4 Cd 3.16
Cd 0.6740 0.6740 0.3481  4 Tm 3.16, 4 Ca 3.34


No. 5
The following is a DFT calculation (PBE) of crystalline CaTm2Cd at its relaxed geometry.

Results
SG	R-3m
total magnetization	0.0	Bohr magnetons per cell
formation energy from the elements	0.137	eV/atom
DFT total energy	-0.1039	hartree per atom

abc: 3.5347 3.5347 11.8239
angles: 81.40 81.40 60.00
Closest atoms and distances in Å follow each position.
Atoms (fractional coordinates):
Ca 0.0000 0.0000 0.0000  2 Tm 3.37, 6 Ca 3.53
Tm 0.0963 0.0963 0.7110  3 Cd 3.19, 1 Ca 3.37, 6 Tm 3.53
Tm 0.9037 0.9037 0.2890  3 Cd 3.19, 1 Ca 3.37, 6 Tm 3.53
Cd 0.5000 0.5000 0.5000  6 Tm 3.19, 6 Cd 3.53


No. 6
The following is a DFT calculation (PBE) of crystalline Ca5TmCd6 at its relaxed geometry.

Results
SG	C2/m
total magnetization	0.0	Bohr magnetons per cell
formation energy from the elements	-0.350	eV/atom
DFT total energy	-0.0740	hartree per atom

abc: 5.3906 7.6010 9.3262
angles: 65.95 73.27 90.00
Closest atoms and distances in Å follow each position.
Atoms (fractional coordinates):
Ca 0.6712 0.1703 0.6595  8 Cd 3.26-3.34
Ca 0.3351 0.3357 0.3286  8 Cd 3.33-3.35
Ca 0.0000 0.5000 0.0000  8 Cd 3.28-3.38
Ca 0.6649 0.6643 0.6714  8 Cd 3.33-3.35
Ca 0.3288 0.8297 0.3405  8 Cd 3.26-3.34
Tm 0.0000 0.0000 0.0000  8 Cd 3.21-3.22
Cd 0.8363 0.5959 0.3250  1 Tm 3.21, 7 Ca 3.26-3.35
Cd 0.8363 0.0790 0.3250  1 Tm 3.21, 7 Ca 3.26-3.35
Cd 0.5000 0.7685 0.0001  2 Tm 3.22, 6 Ca 3.27-3.38, 1 Cd 3.52
Cd 0.5000 0.2315 0.9999  2 Tm 3.22, 6 Ca 3.27-3.38, 1 Cd 3.52
Cd 0.1637 0.9210 0.6750  1 Tm 3.21, 7 Ca 3.26-3.35
Cd 0.1637 0.4041 0.6750  1 Tm 3.21, 7 Ca 3.26-3.35